# 1
GdDyFeRu | PBE | optimized geometry

## Properties
SG	F-43m
size of the total moment	9.0	μB/f.u.
calculated formation energy	-0.01	eV/atom
crystal system	cubic
calculated density	9.88	Mg/m³

a b c (Å): 4.8396 4.8396 4.8396
angles (deg): 60.00 60.00 60.00
Sites, in units of the cell vectors:
Gd 0.0000 0.0000 0.0000
Dy 0.5000 0.5000 0.5000
Fe 0.7500 0.7500 0.7500
Ru 0.2500 0.2500 0.2500

***

# 2
La2MgCd | PBE | optimized geometry

## Properties
SG	Pm
size of the total moment	0.0	μB/f.u.
calculated formation energy	-0.18	eV/atom
crystal system	monoclinic
calculated density	5.71	Mg/m³

a b c (Å): 3.5491 5.1530 6.8222
angles (deg): 90.00 104.78 90.00
Sites, in units of the cell vectors:
La 0.0000 0.0000 0.0000
La 0.3277 0.5000 0.6612
Mg 0.6022 0.5000 0.2058
Cd 0.7272 0.0000 0.4572

***

# 3
LiLuSiAu | PBE | optimized geometry

## Properties
SG	F-43m
size of the total moment	0.0	μB/f.u.
E_form (uncorrected)	-52	kJ/mol of atoms
crystal system	cubic
calculated density	9.12	Mg/m³

a b c (Å): 4.7146 4.7146 4.7146
angles (deg): 60.00 60.00 60.00
Sites, in units of the cell vectors:
Li 0.0000 0.0000 0.0000
Lu 0.5000 0.5000 0.5000
Si 0.2500 0.2500 0.2500
Au 0.7500 0.7500 0.7500

***

# 4
Si3AsH | PBE | optimized geometry

## Properties
final energy	-20.8	eV per formula unit
SG	Pm-3m
size of the total moment	0.0	μB/f.u.
crystal system	cubic
calculated density	3.83	Mg/m³

a b c (Å): 4.1119 4.1119 4.1119
angles (deg): 90.00 90.00 90.00
Sites, in units of the cell vectors:
Si 0.0000 0.0000 0.5000
Si 0.0000 0.5000 0.0000
Si 0.5000 0.0000 0.0000
As 0.5000 0.5000 0.5000
H 0.0000 0.0000 0.0000

***

no.,Fermi-level density of states (states/eV per cell)
1,9.027
2,3.739
3,2.466
4,2.537